Density functional theory data (SCAN) for a crystal of BeI2 relaxed with PBEsol.

Energy relative to the lowest polymorph listed for this composition = 0.000 eV/atom
ΔE_f (raw) = -0.61 eV/atom
Space-group type = I4_1/acd (142)

a = 12.4092 Å, b = 13.6913 Å, c = 12.4092 Å
α = 116.95°, β = 90.00°, γ = 116.95°
Atoms (fractional coordinates):
I (0.9752, 0.5015, 0.2158)
I (0.1803, 0.7500, 0.6250)
I (0.2842, 0.4985, 0.5248)
I (0.8662, 0.7323, 0.8662)
I (0.6803, 0.7500, 0.6250)
I (0.8750, 0.2500, 0.3197)
I (0.1162, 0.2323, 0.6162)
I (0.7842, 0.4985, 0.4737)
I (0.8750, 0.2500, 0.8197)
I (0.0358, 0.0015, 0.7763)
I (0.3838, 0.7677, 0.8838)
I (0.9658, 0.0015, 0.2252)
I (0.8838, 0.7677, 0.3838)
I (0.5358, 0.0015, 0.7252)
I (0.3750, 0.2500, 0.4303)
I (0.0697, 0.7500, 0.1250)
I (0.2237, 0.9985, 0.0342)
I (0.4752, 0.5015, 0.7858)
I (0.7237, 0.9985, 0.4642)
I (0.0263, 0.5015, 0.7158)
I (0.5697, 0.7500, 0.1250)
I (0.7142, 0.4985, 0.0248)
I (0.3750, 0.2500, 0.9303)
I (0.6338, 0.2677, 0.6338)
I (0.6162, 0.2323, 0.1162)
I (0.7748, 0.9985, 0.9642)
I (0.5263, 0.5015, 0.2858)
I (0.1338, 0.2677, 0.1338)
I (0.4658, 0.0015, 0.2763)
I (0.2748, 0.9985, 0.5342)
I (0.2142, 0.4985, 0.9737)
I (0.3662, 0.7323, 0.3662)
Be (0.0622, 0.3733, 0.7753)
Be (0.5622, 0.3733, 0.0979)
Be (0.4389, 0.1267, 0.4747)
Be (0.1878, 0.1267, 0.9747)
Be (0.9021, 0.6267, 0.1889)
Be (0.9389, 0.1267, 0.1521)
Be (0.2247, 0.6267, 0.6889)
Be (0.8479, 0.8733, 0.8122)
Be (0.7247, 0.6267, 0.4378)
Be (0.3111, 0.3733, 0.5979)
Be (0.6878, 0.1267, 0.6521)
Be (0.3479, 0.8733, 0.5611)
Be (0.5253, 0.8733, 0.3122)
Be (0.0253, 0.8733, 0.0611)
Be (0.4021, 0.6267, 0.9378)
Be (0.8111, 0.3733, 0.2753)